No. 1
Computed, not measured: a geometry-optimized TbThRuAu structure at the PBE level of DFT.

a b c (Å): 5.071 5.071 5.071
angles (deg): 60.00 60.00 60.00
Fractional coordinates of all 4 atoms:
Tb 0.000 0.000 0.000
Th 0.500 0.500 0.500
Ru 0.250 0.250 0.250
Au 0.750 0.750 0.750

Computed properties:
**DOS(E_F)**: 0.81 states/eV/atom
**Calculated total energy**: -26.6 eV for the cell shown
**ΔE_f**: -496 meV per atom


No. 2
Computed, not measured: a geometry-optimized Tb2Zn2Cu5Rh structure at the PBE level of DFT.

a b c (Å): 9.500 9.500 3.624
angles (deg): 90.00 90.00 90.00
Fractional coordinates of all 20 atoms:
Tb 0.181 0.319 0.000
Tb 0.319 0.819 0.000
Tb 0.681 0.181 0.000
Tb 0.819 0.681 0.000
Zn 0.118 0.618 0.000
Zn 0.382 0.118 0.000
Zn 0.618 0.882 0.000
Zn 0.882 0.382 0.000
Cu 0.000 0.500 0.500
Cu 0.050 0.806 0.500
Cu 0.194 0.050 0.500
Cu 0.306 0.550 0.500
Cu 0.450 0.306 0.500
Cu 0.500 0.000 0.500
Cu 0.550 0.694 0.500
Cu 0.694 0.450 0.500
Cu 0.806 0.950 0.500
Cu 0.950 0.194 0.500
Rh 0.000 0.000 0.000
Rh 0.500 0.500 0.000

Computed properties:
**DOS(E_F)**: 0.77 states/eV/atom
**Calculated total energy**: -81.6 eV for the cell shown
**ΔE_f**: -115 meV per atom


No. 3
Computed, not measured: a geometry-optimized TeAs structure at the PBE level of DFT.

a b c (Å): 8.888 8.888 8.888
angles (deg): 31.51 31.51 31.51
Fractional coordinates of all 4 atoms:
Te 0.100 0.100 0.100
Te 0.900 0.900 0.900
As 0.450 0.450 0.450
As 0.550 0.550 0.550

Computed properties:
**Calculated total energy**: -14.9 eV for the cell shown
**Formation energy (no corrections)**: 0.181 eV/atom


No. 4
Computed, not measured: a geometry-optimized RbTlPd2 structure at the PBE level of DFT.

a b c (Å): 6.634 6.634 6.634
angles (deg): 104.55 104.55 119.84
Fractional coordinates of all 8 atoms:
Rb 0.000 0.000 0.000
Rb 0.750 0.250 0.500
Tl 0.250 0.750 0.500
Tl 0.500 0.500 0.000
Pd 0.181 0.625 0.056
Pd 0.375 0.431 0.556
Pd 0.569 0.125 0.944
Pd 0.875 0.819 0.444

Computed properties:
**DOS(E_F)**: 0.09 states/eV/atom
**Calculated total energy**: -25.6 eV for the cell shown
**ΔE_f**: 233 meV per atom


No. 5
Computed, not measured: a geometry-optimized Li2Al5Ga12 structure at the PBE level of DFT.

a b c (Å): 8.542 8.542 6.649
angles (deg): 112.06 112.06 55.44
Fractional coordinates of all 19 atoms:
Li 0.189 0.811 0.000
Li 0.811 0.189 0.000
Al 0.150 0.150 0.442
Al 0.205 0.205 0.079
Al 0.500 0.500 0.500
Al 0.795 0.795 0.921
Al 0.850 0.850 0.558
Ga 0.045 0.045 0.710
Ga 0.087 0.503 0.717
Ga 0.169 0.562 0.196
Ga 0.437 0.437 0.800
Ga 0.438 0.831 0.804
Ga 0.497 0.913 0.283
Ga 0.503 0.087 0.717
Ga 0.562 0.169 0.196
Ga 0.563 0.563 0.200
Ga 0.831 0.438 0.804
Ga 0.913 0.497 0.283
Ga 0.955 0.955 0.290

Computed properties:
**DOS(E_F)**: 0.29 states/eV/atom
**Calculated total energy**: -58.8 eV for the cell shown
**ΔE_f**: 2 meV per atom


No. 6
Computed, not measured: a geometry-optimized ZnHg2Ru structure at the PBE level of DFT.

a b c (Å): 4.744 4.744 3.309
angles (deg): 90.00 90.00 105.58
Fractional coordinates of all 4 atoms:
Zn 0.000 0.000 0.000
Hg 0.000 0.500 0.500
Hg 0.500 0.000 0.500
Ru 0.500 0.500 0.000

Computed properties:
**DOS(E_F)**: 0.84 states/eV/atom
**Calculated total energy**: -9.7 eV for the cell shown
**ΔE_f**: 351 meV per atom


No. 7
Computed, not measured: a geometry-optimized Sm2LuGe structure at the PBE level of DFT.

a b c (Å): 10.179 10.179 10.179
angles (deg): 21.24 21.24 21.24
Fractional coordinates of all 4 atoms:
Sm 0.234 0.234 0.234
Sm 0.766 0.766 0.766
Lu 0.000 0.000 0.000
Ge 0.500 0.500 0.500

Computed properties:
**DOS(E_F)**: 1.51 states/eV/atom
**Calculated total energy**: -19.3 eV for the cell shown
**ΔE_f**: -169 meV per atom